# AcTe2S4 | Alexandria | PBE | optimized geometry
# V   28.50 A^3/atom
# E_form (uncorrected)   -0.632 eV/atom
data_AcTe2S4
_cell_length_a 8.2558
_cell_length_b 12.4527
_cell_length_c 8.7797
_cell_angle_alpha 90.00
_cell_angle_beta 117.84
_cell_angle_gamma 90.00
_symmetry_space_group_name_H-M 'C 1 2/c 1'
_symmetry_Int_Tables_number 15
loop_
_symmetry_equiv_pos_as_xyz
'x,y,z'
'-x,-y,-z'
'-x,y,-z+1/2'
'x,-y,z+1/2'
'x+1/2,y+1/2,z'
'-x+1/2,-y+1/2,-z'
'-x+1/2,y+1/2,-z+1/2'
'x+1/2,-y+1/2,z+1/2'
loop_
_atom_site_label
_atom_site_fract_x
_atom_site_fract_y
_atom_site_fract_z
Ac1 0.0000 0.1252 0.2500
Te1 0.0000 0.5000 0.0000
Te2 0.2500 0.2500 0.0000
S1 0.0807 0.2922 0.5318
S2 0.2001 0.0427 0.0307



# Y2Zn3Cu12Ir | Alexandria | PBE | optimized geometry
# V   15.19 A^3/atom
# Formation energy from the elements   0.1031 eV per atom
data_Y2Zn3Cu12Ir
_cell_length_a 8.8375
_cell_length_b 8.8375
_cell_length_c 12.1299
_cell_angle_alpha 90.00
_cell_angle_beta 90.00
_cell_angle_gamma 120.00
_symmetry_space_group_name_H-M 'R -3 m'
_symmetry_Int_Tables_number 166
_symmetry_space_group_name_Hall '-R 3 2"'
loop_
_atom_site_label
_atom_site_fract_x
_atom_site_fract_y
_atom_site_fract_z
Y1 0.0000 0.0000 0.2215
Zn1 0.0000 0.5000 0.0000
Cu1 0.0113 0.5056 0.2065
Cu2 0.0470 0.5235 0.5994
Ir1 0.0000 0.0000 0.5000



# SrTlN2O | Alexandria | PBE | optimized geometry
# V   23.83 A^3/atom
# E_form (uncorrected)   0.951 eV/atom
data_SrTlN2O
_cell_length_a 5.0669
_cell_length_b 5.0669
_cell_length_c 4.6415
_cell_angle_alpha 90.00
_cell_angle_beta 90.00
_cell_angle_gamma 90.00
_symmetry_space_group_name_H-M 'P 4/m m m'
_symmetry_Int_Tables_number 123
_symmetry_space_group_name_Hall '-P 4 2'
loop_
_atom_site_label
_atom_site_fract_x
_atom_site_fract_y
_atom_site_fract_z
Sr1 0.0000 0.0000 0.0000
Tl1 0.5000 0.5000 0.5000
N1 0.0000 0.5000 0.0000
O1 0.0000 0.0000 0.5000



# MnReRu | Alexandria | PBE | optimized geometry
# V   13.49 A^3/atom
# Formation energy from the elements   0.0929 eV per atom
# Polymorph energy (0 for the lowest one)   14 meV per atom
data_MnReRu
_cell_length_a 2.6880
_cell_length_b 2.6880
_cell_length_c 11.2001
_cell_angle_alpha 90.00
_cell_angle_beta 90.00
_cell_angle_gamma 90.00
_symmetry_space_group_name_H-M 'I 4 m m'
_symmetry_Int_Tables_number 107
_symmetry_space_group_name_Hall 'I 4 -2'
loop_
_atom_site_label
_atom_site_fract_x
_atom_site_fract_y
_atom_site_fract_z
Mn1 0.0000 0.0000 0.0000
Re1 0.0000 0.0000 0.3348
Ru1 0.0000 0.0000 0.6592